Model a:
Material: ScHgPO
Method: DFT, GGA-PBE
State: optimized geometry

Cell lengths 4.047, 6.417, 6.044 Å; angles 90.00, 90.00, 90.00 degrees
Space group Pmc2_1 (No. 26)
Asymmetric unit:
1 Sc 0.000 0.220 0.000 (multiplicity 2)
2 Hg 0.500 0.338 0.563 (multiplicity 2)
3 P 0.000 0.180 0.432 (multiplicity 2)
4 O 0.500 0.285 0.980 (multiplicity 2)

## Properties
total magnetization: 0.000 Bohr magnetons per cell


Model b:
Material: ScHgPO
Method: DFT, GGA-PBE
State: optimized geometry

Cell lengths 3.960, 3.960, 8.708 Å; angles 90.00, 90.00, 90.00 degrees
Space group P4/nmm (No. 129, origin choice 2)
Asymmetric unit:
1 Sc 0.250 0.250 0.099 (multiplicity 2)
2 Hg 0.250 0.750 0.500 (multiplicity 2)
3 P 0.250 0.250 0.717 (multiplicity 2)
4 O 0.250 0.750 0.000 (multiplicity 2)

## Properties
total magnetization: 0.001 Bohr magnetons per cell


Which of them is most stable, and which least? Most stable: model b; least stable: model a.


Model a:
Material: NdMg
Method: DFT, GGA-PBE
State: optimized geometry

Cell lengths 6.9711, 6.9711, 5.6125 Å; angles 90.00, 90.00, 120.00 degrees
Space group P-6m2 (No. 187)
Asymmetric unit:
1 Nd 0.0000 0.0000 0.0000 (multiplicity 1)
2 Nd 0.3344 0.1672 0.5000 (multiplicity 3)
3 Mg 0.3333 0.6667 0.5000 (multiplicity 1)
4 Mg 0.5007 0.0013 0.0000 (multiplicity 3)

## Properties
total magnetization: 0.034 Bohr magnetons per cell


Model b:
Material: NdMg
Method: DFT, GGA-PBE
State: optimized geometry

Cell lengths 6.271, 6.271, 6.271 Å; angles 90.00, 90.00, 90.00 degrees
Space group P2_13 (No. 198)
Asymmetric unit:
1 Nd 0.167 0.333 0.667 (multiplicity 4)
2 Mg 0.156 0.156 0.156 (multiplicity 4)

## Properties
total magnetization: 2.025 Bohr magnetons per cell


Which of them is most stable, and which least? Most stable: model a; least stable: model b.


Model a:
Material: LiReGeTe
Method: DFT, GGA-PBE
State: optimized geometry

Cell lengths 6.435, 6.435, 6.435 Å; angles 90.00, 90.00, 90.00 degrees
Space group F-43m (No. 216)
Asymmetric unit:
1 Li 0.000 0.000 0.000 (multiplicity 4)
2 Re 0.000 0.000 0.500 (multiplicity 4)
3 Ge 0.250 0.250 0.250 (multiplicity 4)
4 Te 0.250 0.250 0.750 (multiplicity 4)

## Properties
total magnetization: 0.011 Bohr magnetons per cell


Model b:
Material: LiReGeTe
Method: DFT, GGA-PBE
State: optimized geometry

Cell lengths 6.527, 6.527, 6.527 Å; angles 90.00, 90.00, 90.00 degrees
Space group F-43m (No. 216)
Asymmetric unit:
1 Li 0.000 0.000 0.000 (multiplicity 4)
2 Re 0.250 0.250 0.250 (multiplicity 4)
3 Ge 0.000 0.000 0.500 (multiplicity 4)
4 Te 0.250 0.250 0.750 (multiplicity 4)

## Properties
total magnetization: 3.797 Bohr magnetons per cell


Which of them is most stable, and which least? Most stable: model a; least stable: model b.


Model a:
Material: SrMgZrPd
Method: DFT, GGA-PBE
State: optimized geometry

Cell lengths 7.047, 7.047, 7.047 Å; angles 90.00, 90.00, 90.00 degrees
Space group F-43m (No. 216)
Asymmetric unit:
1 Sr 0.000 0.000 0.000 (multiplicity 4)
2 Mg 0.250 0.250 0.750 (multiplicity 4)
3 Zr 0.250 0.250 0.250 (multiplicity 4)
4 Pd 0.000 0.000 0.500 (multiplicity 4)

## Properties
total magnetization: 0.000 Bohr magnetons per cell


Model b:
Material: SrMgZrPd
Method: DFT, GGA-PBE
State: optimized geometry

Cell lengths 7.263, 7.263, 7.263 Å; angles 90.00, 90.00, 90.00 degrees
Space group F-43m (No. 216)
Asymmetric unit:
1 Sr 0.000 0.000 0.000 (multiplicity 4)
2 Mg 0.250 0.250 0.750 (multiplicity 4)
3 Zr 0.000 0.000 0.500 (multiplicity 4)
4 Pd 0.250 0.250 0.250 (multiplicity 4)

## Properties
total magnetization: 0.015 Bohr magnetons per cell


Which of them is most stable, and which least? Most stable: model b; least stable: model a.


Model a:
Material: NbCoAgB
Method: DFT, GGA-PBE
State: optimized geometry

Cell lengths 5.976, 5.976, 5.976 Å; angles 90.00, 90.00, 90.00 degrees
Space group F-43m (No. 216)
Asymmetric unit:
1 Nb 0.000 0.000 0.000 (multiplicity 4)
2 Co 0.250 0.250 0.750 (multiplicity 4)
3 Ag 0.250 0.250 0.250 (multiplicity 4)
4 B 0.000 0.000 0.500 (multiplicity 4)

## Properties
total magnetization: 0.003 Bohr magnetons per cell


Model b:
Material: NbCoAgB
Method: DFT, GGA-PBE
State: optimized geometry

Cell lengths 5.956, 5.956, 5.956 Å; angles 90.00, 90.00, 90.00 degrees
Space group F-43m (No. 216)
Asymmetric unit:
1 Nb 0.000 0.000 0.000 (multiplicity 4)
2 Co 0.000 0.000 0.500 (multiplicity 4)
3 Ag 0.250 0.250 0.750 (multiplicity 4)
4 B 0.250 0.250 0.250 (multiplicity 4)

## Properties
total magnetization: 1.689 Bohr magnetons per cell


Which of them is most stable, and which least? Most stable: model b; least stable: model a.


Model a:
Material: PmZr
Method: DFT, GGA-PBE
State: optimized geometry

Cell lengths 3.369, 5.467, 6.059 Å; angles 90.00, 90.00, 90.00 degrees
Space group Pmmn (No. 59, origin choice 2)
Asymmetric unit:
1 Pm 0.250 0.250 0.099 (multiplicity 2)
2 Zr 0.250 0.750 0.429 (multiplicity 2)

## Properties
total magnetization: 0.022 Bohr magnetons per cell


Model b:
Material: PmZr
Method: DFT, GGA-PBE
State: optimized geometry

Cell lengths 5.480, 10.410, 5.893 Å; angles 90.00, 90.00, 90.00 degrees
Space group Pmc2_1 (No. 26)
Asymmetric unit:
1 Pm 0.000 0.077 0.000 (multiplicity 2)
2 Pm 0.000 0.259 0.534 (multiplicity 2)
3 Pm 0.500 0.259 0.168 (multiplicity 2)
4 Zr 0.000 0.438 0.994 (multiplicity 2)
5 Zr 0.500 0.078 0.676 (multiplicity 2)
6 Zr 0.500 0.428 0.695 (multiplicity 2)

## Properties
total magnetization: 0.026 Bohr magnetons per cell


Which of them is most stable, and which least? Most stable: model b; least stable: model a.